[1]
# Tb3Re PBE optimized geometry
# electronic total energy	-6.42	eV per atom
# D(E_F)	10.27	states/eV per cell
# mass density	10.49	g/cm3
# formation energy from the elements	0.7	eV per formula unit
data_Tb3Re
_chemical_formula_sum 'Tb6 Re2'
_symmetry_space_group_name_H-M 'I m m 2'
_symmetry_Int_Tables_number 44
_symmetry_space_group_name_Hall 'I 2 -2'
_cell_length_a 3.619
_cell_length_b 10.930
_cell_length_c 5.309
_cell_angle_alpha 90.00
_cell_angle_beta 90.00
_cell_angle_gamma 90.00
loop_
_atom_site_label
_atom_site_type_symbol
_atom_site_fract_x
_atom_site_fract_y
_atom_site_fract_z
_atom_site_occupancy
Tb1 Tb 0.000 0.000 0.000 1
Tb2 Tb 0.000 0.200 0.504 1
Re1 Re 0.000 0.500 0.981 1


[2]
# Ce2MgGaOs PBE optimized geometry
# electronic total energy	-5.76	eV per atom
# D(E_F)	15.81	states/eV per cell
# mass density	8.07	g/cm3
# formation energy from the elements	-1.1	eV per formula unit
data_Ce2MgGaOs
_chemical_formula_sum 'Ce4 Mg2 Ga2 Os2'
_symmetry_space_group_name_H-M 'P 1 21/m 1'
_symmetry_Int_Tables_number 11
_symmetry_space_group_name_Hall '-P 2yb'
_cell_length_a 5.552
_cell_length_b 4.831
_cell_length_c 8.889
_cell_angle_alpha 90.00
_cell_angle_beta 103.03
_cell_angle_gamma 90.00
loop_
_atom_site_label
_atom_site_type_symbol
_atom_site_fract_x
_atom_site_fract_y
_atom_site_fract_z
_atom_site_occupancy
Ce1 Ce 0.025 0.250 0.252 1
Ce2 Ce 0.375 0.750 0.109 1
Mg1 Mg 0.361 0.750 0.517 1
Ga1 Ga 0.183 0.250 0.618 1
Os1 Os 0.146 0.250 0.931 1


[3]
# PuInBiPb PBE optimized geometry
# electronic total energy	-6.20	eV per atom
# D(E_F)	63.57	states/eV per cell
# mass density	10.74	g/cm3
# formation energy from the elements	-0.1	eV per formula unit
data_PuInBiPb
_chemical_formula_sum 'Pu4 In4 Bi4 Pb4'
_symmetry_space_group_name_H-M 'F -4 3 m'
_symmetry_Int_Tables_number 216
_symmetry_space_group_name_Hall 'F -4 2 3'
_cell_length_a 7.827
_cell_length_b 7.827
_cell_length_c 7.827
_cell_angle_alpha 90.00
_cell_angle_beta 90.00
_cell_angle_gamma 90.00
loop_
_atom_site_label
_atom_site_type_symbol
_atom_site_fract_x
_atom_site_fract_y
_atom_site_fract_z
_atom_site_occupancy
Pu1 Pu 0.000 0.000 0.000 1
In1 In 0.250 0.250 0.750 1
Bi1 Bi 0.250 0.250 0.250 1
Pb1 Pb 0.000 0.000 0.500 1


[4]
# Ac3SmTm PBE optimized geometry
# electronic total energy	-4.12	eV per atom
# D(E_F)	28.64	states/eV per cell
# mass density	8.14	g/cm3
# formation energy from the elements	0.9	eV per formula unit
data_Ac3SmTm
_chemical_formula_sum 'Ac12 Sm4 Tm4'
_symmetry_space_group_name_H-M 'P n n a'
_symmetry_Int_Tables_number 52
_symmetry_space_group_name_Hall '-P 2a 2bc'
_cell_length_a 6.553
_cell_length_b 9.443
_cell_length_c 13.194
_cell_angle_alpha 90.00
_cell_angle_beta 90.00
_cell_angle_gamma 90.00
loop_
_atom_site_label
_atom_site_type_symbol
_atom_site_fract_x
_atom_site_fract_y
_atom_site_fract_z
_atom_site_occupancy
Ac1 Ac 0.087 0.173 0.075 1
Ac2 Ac 0.134 0.250 0.750 1
Sm1 Sm 0.250 0.000 0.557 1
Tm1 Tm 0.250 0.000 0.306 1


Among the records above, which one has the lowest formation energy from the elements? Ce2MgGaOs


Please write out number 3 again, unchanged.
# PuInBiPb PBE optimized geometry
# electronic total energy	-6.20	eV per atom
# D(E_F)	63.57	states/eV per cell
# mass density	10.74	g/cm3
# formation energy from the elements	-0.1	eV per formula unit
data_PuInBiPb
_chemical_formula_sum 'Pu4 In4 Bi4 Pb4'
_symmetry_space_group_name_H-M 'F -4 3 m'
_symmetry_Int_Tables_number 216
_symmetry_space_group_name_Hall 'F -4 2 3'
_cell_length_a 7.827
_cell_length_b 7.827
_cell_length_c 7.827
_cell_angle_alpha 90.00
_cell_angle_beta 90.00
_cell_angle_gamma 90.00
loop_
_atom_site_label
_atom_site_type_symbol
_atom_site_fract_x
_atom_site_fract_y
_atom_site_fract_z
_atom_site_occupancy
Pu1 Pu 0.000 0.000 0.000 1
In1 In 0.250 0.250 0.750 1
Bi1 Bi 0.250 0.250 0.250 1
Pb1 Pb 0.000 0.000 0.500 1


Number 3 is which compound? PuInBiPb